Entry from Alexandria: an optimized crystal structure of Ta2CuCl (GGA-PBE).

abc: 3.0086 3.0086 29.3280
angles: 90.00 90.00 120.00
Closest atoms and distances in Å follow each position.
Positions (direct):
Ta: 0.0000 0.0000 0.0000  3 Cl 2.50
Ta: 0.0000 0.0000 0.2471  3 Cu 2.69, 6 Ta 3.01
Ta: 0.3333 0.6667 0.6667  3 Cl 2.50
Ta: 0.3333 0.6667 0.9137  3 Cu 2.69, 6 Ta 3.01
Ta: 0.6667 0.3333 0.3333  3 Cl 2.50
Ta: 0.6667 0.3333 0.5804  3 Cu 2.69, 6 Ta 3.01
Cu: 0.0000 0.0000 0.5104  3 Ta 2.69, 6 Cu 3.01
Cu: 0.3333 0.6667 0.1771  3 Ta 2.69, 6 Cu 3.01
Cu: 0.6667 0.3333 0.8438  3 Ta 2.69, 6 Cu 3.01
Cl: 0.0000 0.0000 0.7277  3 Ta 2.50
Cl: 0.3333 0.6667 0.3944  3 Ta 2.50
Cl: 0.6667 0.3333 0.0611  3 Ta 2.50

Computed properties:
The value obtained for the uncorrected energy is -0.545 Ry per atom. As for the excess energy over the best structure of this formula in the dataset: 0.0 meV per atom. Its formation energy (no corrections) is 0.001 eV/atom.